# Na3LiCa | Alexandria via LeMat-Bulk | PBE-GGA | relaxed
# * total energy: -6.822 eV per cell
data_Na3LiCa
_chemical_formula_sum 'Na3 Li1 Ca1'
_cell_length_a 5.663
_cell_length_b 5.663
_cell_length_c 5.663
_cell_angle_alpha 90.00
_cell_angle_beta 90.00
_cell_angle_gamma 90.00
_symmetry_space_group_name_H-M 'P m -3 m'
_symmetry_Int_Tables_number 221
_symmetry_space_group_name_Hall '-P 4 2 3'
loop_
_atom_site_label
_atom_site_type_symbol
_atom_site_fract_x
_atom_site_fract_y
_atom_site_fract_z
Na1 Na 0.000 0.000 0.500
Li1 Li 0.000 0.000 0.000
Ca1 Ca 0.500 0.500 0.500

***

# CsNaTl2Ni | Alexandria via LeMat-Bulk | PBE-GGA | relaxed
# * total energy: -12.407 eV per cell
data_CsNaTl2Ni
_chemical_formula_sum 'Cs1 Na1 Tl2 Ni1'
_cell_length_a 5.187
_cell_length_b 5.187
_cell_length_c 5.923
_cell_angle_alpha 90.00
_cell_angle_beta 90.00
_cell_angle_gamma 90.00
_symmetry_space_group_name_H-M 'P 4/m m m'
_symmetry_Int_Tables_number 123
_symmetry_space_group_name_Hall '-P 4 2'
loop_
_atom_site_label
_atom_site_type_symbol
_atom_site_fract_x
_atom_site_fract_y
_atom_site_fract_z
Cs1 Cs 0.000 0.000 0.000
Na1 Na 0.500 0.500 0.000
Tl1 Tl 0.000 0.500 0.500
Ni1 Ni 0.500 0.500 0.500

***

# MnTlBr2 | Alexandria via LeMat-Bulk | PBE-GGA | relaxed
# * uncorrected formation energy: -0.087 eV/atom
# * total energy: -60.918 eV per cell
data_MnTlBr2
_chemical_formula_sum 'Mn4 Tl4 Br8'
_cell_length_a 7.671
_cell_length_b 7.671
_cell_length_c 7.671
_cell_angle_alpha 90.00
_cell_angle_beta 90.00
_cell_angle_gamma 90.00
_symmetry_space_group_name_H-M 'F m -3 m'
_symmetry_Int_Tables_number 225
_symmetry_space_group_name_Hall '-F 4 2 3'
loop_
_atom_site_label
_atom_site_type_symbol
_atom_site_fract_x
_atom_site_fract_y
_atom_site_fract_z
Mn1 Mn 0.000 0.000 0.000
Tl1 Tl 0.000 0.000 0.500
Br1 Br 0.250 0.250 0.250

***

- Look up the total energy of the first one.
  -6.822 eV per cell

***

- Which formula does entry 3 have?
  MnTlBr2

***

Please write out number 3 again, unchanged.
# MnTlBr2 | Alexandria via LeMat-Bulk | PBE-GGA | relaxed
# * uncorrected formation energy: -0.087 eV/atom
# * total energy: -60.918 eV per cell
data_MnTlBr2
_chemical_formula_sum 'Mn4 Tl4 Br8'
_cell_length_a 7.671
_cell_length_b 7.671
_cell_length_c 7.671
_cell_angle_alpha 90.00
_cell_angle_beta 90.00
_cell_angle_gamma 90.00
_symmetry_space_group_name_H-M 'F m -3 m'
_symmetry_Int_Tables_number 225
_symmetry_space_group_name_Hall '-F 4 2 3'
loop_
_atom_site_label
_atom_site_type_symbol
_atom_site_fract_x
_atom_site_fract_y
_atom_site_fract_z
Mn1 Mn 0.000 0.000 0.000
Tl1 Tl 0.000 0.000 0.500
Br1 Br 0.250 0.250 0.250

***

- total energy of number 3 (MnTlBr2)?
  -60.918 eV per cell